[1]
Tl2Si2Bi | Alexandria | PBE | relaxed; formation energy from raw total energies = 0.35 eV per atom; space group = P4/mbm, No. 127; energy relative to the lowest polymorph listed for this composition = 101.4 meV per atom; Fermi-level density of states = 0.812 states/eV per atom
1.0
7.362 0.000 0.000
0.000 7.362 0.000
0.000 0.000 4.975
Tl Si Bi
4 4 2
Direct
0.183 0.317 0.000 Tl
0.317 0.817 0.000 Tl
0.683 0.183 0.000 Tl
0.817 0.683 0.000 Tl
0.111 0.611 0.500 Si
0.389 0.111 0.500 Si
0.611 0.889 0.500 Si
0.889 0.389 0.500 Si
0.000 0.000 0.500 Bi
0.500 0.500 0.500 Bi


[2]
Sm5Dy2Th4 | Alexandria | PBE | relaxed; calculated formation energy = 2.52 eV per formula unit; space group = C2/m, No. 12; Fermi-level density of states = 1.659 states/eV per atom
1.0
6.053 -3.477 0.000
6.053 3.477 0.000
-4.108 0.000 8.791
Sm Dy Th
5 2 4
Direct
0.000 0.000 0.000 Sm
0.161 0.622 0.669 Sm
0.378 0.839 0.331 Sm
0.622 0.161 0.669 Sm
0.839 0.378 0.331 Sm
0.128 0.128 0.665 Dy
0.872 0.872 0.335 Dy
0.344 0.344 0.323 Th
0.355 0.355 0.004 Th
0.645 0.645 0.996 Th
0.656 0.656 0.677 Th


[3]
La2ErTl4 | Alexandria | PBE | relaxed; calculated formation energy = 0.41 eV per formula unit; space group = I4/mmm, No. 139; energy relative to the lowest polymorph listed for this composition = 318.6 meV per atom; Fermi-level density of states = 1.831 states/eV per atom
1.0
-2.840 2.840 8.212
2.840 -2.840 8.212
2.840 2.840 -8.212
La Er Tl
2 1 4
Direct
0.115 0.115 0.000 La
0.885 0.885 0.000 La
0.500 0.500 0.000 Er
0.000 0.500 0.500 Tl
0.314 0.314 0.000 Tl
0.500 0.000 0.500 Tl
0.686 0.686 0.000 Tl


[4]
KCdIr2 | Alexandria | PBE | relaxed; calculated formation energy = 1.45 eV per formula unit; space group = P4mm, No. 99; Fermi-level density of states = 0.568 states/eV per atom
1.0
2.879 0.000 0.000
0.000 2.879 0.000
0.000 0.000 9.707
K Cd Ir
1 1 2
Direct
0.000 0.000 0.000 K
0.500 0.500 0.326 Cd
0.000 0.000 0.552 Ir
0.500 0.500 0.723 Ir


[5]
MnGePHCN | Alexandria | PBE | relaxed; space group = Pm, No. 6; energy relative to the lowest polymorph listed for this composition = 0.0 meV per atom; Fermi-level density of states = 0.304 states/eV per atom
1.0
5.004 0.000 0.000
0.000 3.001 0.000
-1.930 0.000 5.120
Mn Ge P H C N
1 1 1 1 1 1
Direct
0.000 0.000 0.000 Mn
0.074 0.500 0.358 Ge
0.857 0.500 0.682 P
0.552 0.500 0.522 H
0.622 0.000 0.000 C
0.383 0.000 0.997 N


[6]
CdRu | Alexandria | PBE | relaxed; calculated formation energy = 0.88 eV per formula unit; space group = R-3m, No. 166; Fermi-level density of states = 1.048 states/eV per atom
1.0
1.442 0.832 4.687
-1.442 0.832 4.687
0.000 -1.665 4.687
Cd Ru
1 1
Direct
0.000 0.000 0.000 Cd
0.500 0.500 0.500 Ru


[7]
KFeSn2Cl8 | Alexandria | PBE | relaxed; formation energy from raw total energies = -0.99 eV per atom; space group = P-1, No. 2; Fermi-level density of states = 0.760 states/eV per atom
1.0
6.140 0.000 0.000
0.265 7.384 0.000
2.113 2.237 7.965
K Fe Sn Cl
1 1 2 8
Direct
0.000 0.000 0.000 K
0.000 0.000 0.500 Fe
0.462 0.385 0.272 Sn
0.538 0.615 0.728 Sn
0.169 0.719 0.585 Cl
0.211 0.150 0.613 Cl
0.261 0.632 0.011 Cl
0.277 0.078 0.252 Cl
0.723 0.922 0.748 Cl
0.739 0.368 0.989 Cl
0.789 0.850 0.387 Cl
0.831 0.281 0.415 Cl


[8]
La3Pr2Ni | Alexandria | PBE | relaxed; calculated formation energy = -0.44 eV per formula unit; space group = Cmcm, No. 63; Fermi-level density of states = 1.362 states/eV per atom
1.0
8.575 -3.100 0.000
8.575 3.100 0.000
0.000 0.000 7.235
La Pr Ni
6 4 2
Direct
0.106 0.894 0.750 La
0.387 0.387 0.000 La
0.387 0.387 0.500 La
0.613 0.613 0.000 La
0.613 0.613 0.500 La
0.894 0.106 0.250 La
0.142 0.241 0.750 Pr
0.241 0.142 0.250 Pr
0.759 0.858 0.750 Pr
0.858 0.759 0.250 Pr
0.335 0.665 0.250 Ni
0.665 0.335 0.750 Ni


[9]
La2PmTh | Alexandria | PBE | relaxed; calculated formation energy = 0.78 eV per formula unit; space group = R-3m, No. 166; energy relative to the lowest polymorph listed for this composition = 169.6 meV per atom; Fermi-level density of states = 1.713 states/eV per atom
1.0
1.774 1.024 12.862
-1.774 1.024 12.862
0.000 -2.049 12.862
La Pm Th
2 1 1
Direct
0.088 0.088 0.088 La
0.912 0.912 0.912 La
0.500 0.500 0.500 Pm
0.000 0.000 0.000 Th


[10]
RbAgPbSe2 | Alexandria | PBE | relaxed; formation energy from raw total energies = -0.57 eV per atom; space group = Cmme, No. 67
1.0
3.704 -7.795 0.000
3.704 7.795 0.000
0.000 0.000 6.060
Rb Ag Pb Se
2 2 2 4
Direct
0.250 0.750 0.766 Rb
0.750 0.250 0.234 Rb
0.000 0.000 0.000 Ag
0.500 0.500 0.000 Ag
0.250 0.250 0.500 Pb
0.750 0.750 0.500 Pb
0.123 0.877 0.262 Se
0.377 0.623 0.262 Se
0.623 0.377 0.738 Se
0.877 0.123 0.738 Se


[11]
TlNiBr5 | Alexandria | PBE | relaxed; formation energy from raw total energies = -0.31 eV per atom; space group = C2/c, No. 15; Fermi-level density of states = 0.186 states/eV per atom
1.0
4.427 -7.819 0.000
4.427 7.819 0.000
-3.287 0.000 7.389
Tl Ni Br
2 2 10
Direct
0.131 0.869 0.750 Tl
0.869 0.131 0.250 Tl
0.500 0.500 0.000 Ni
0.500 0.500 0.500 Ni
0.203 0.223 0.870 Br
0.204 0.775 0.473 Br
0.223 0.203 0.370 Br
0.225 0.796 0.027 Br
0.420 0.580 0.250 Br
0.580 0.420 0.750 Br
0.775 0.204 0.973 Br
0.777 0.797 0.630 Br
0.796 0.225 0.527 Br
0.797 0.777 0.130 Br


[12]
CdW2I | Alexandria | PBE | relaxed; formation energy from raw total energies = 1.37 eV per atom; space group = I-42d, No. 122; energy relative to the lowest polymorph listed for this composition = 0.0 meV per atom; Fermi-level density of states = 0.869 states/eV per atom
1.0
-2.070 2.070 10.311
2.070 -2.070 10.311
2.070 2.070 -10.311
Cd W I
2 4 2
Direct
0.000 0.000 0.000 Cd
0.750 0.250 0.500 Cd
0.060 0.625 0.935 W
0.375 0.310 0.435 W
0.690 0.125 0.065 W
0.875 0.940 0.565 W
0.250 0.750 0.500 I
0.500 0.500 0.000 I